(1)
An optimized crystal structure of NdSm6Er6, computed with GGA-PBE.

Structure (CIF):
```
data_NdSm6Er6
_chemical_formula_sum 'Nd1 Sm6 Er6'
_symmetry_space_group_name_H-M 'P 6/m m m'
_symmetry_Int_Tables_number 191
_symmetry_space_group_name_Hall '-P 6 2'
_cell_length_a 6.6971
_cell_length_b 6.6971
_cell_length_c 11.4004
_cell_angle_alpha 90.00
_cell_angle_beta 90.00
_cell_angle_gamma 120.00
loop_
_atom_site_label
_atom_site_fract_x
_atom_site_fract_y
_atom_site_fract_z
Nd1 0.0000 0.0000 0.0000
Sm1 0.0000 0.0000 0.3467
Sm2 0.3333 0.6667 0.0000
Sm3 0.3333 0.6667 0.5000
Er1 0.0000 0.5000 0.2460
```

Computed properties:
As for the formation energy from the elements: 25.2 kJ/mol of atoms. As for the density of states at the Fermi level: 2.040 states/eV/atom.

---

(2)
An optimized crystal structure of NdSm12Er3, computed with GGA-PBE.

Structure (CIF):
```
data_NdSm12Er3
_chemical_formula_sum 'Nd1 Sm12 Er3'
_symmetry_space_group_name_H-M 'P 4/m m m'
_symmetry_Int_Tables_number 123
_symmetry_space_group_name_Hall '-P 4 2'
_cell_length_a 5.103
_cell_length_b 5.103
_cell_length_c 20.378
_cell_angle_alpha 90.00
_cell_angle_beta 90.00
_cell_angle_gamma 90.00
loop_
_atom_site_label
_atom_site_fract_x
_atom_site_fract_y
_atom_site_fract_z
Nd1 0.000 0.000 0.000
Sm1 0.000 0.500 0.127
Sm2 0.000 0.500 0.376
Sm3 0.500 0.500 0.000
Sm4 0.500 0.500 0.252
Sm5 0.500 0.500 0.500
Er1 0.000 0.000 0.251
Er2 0.000 0.000 0.500
```

Computed properties:
As for the formation energy from the elements: 1.6 kJ/mol of atoms. As for the density of states at the Fermi level: 1.473 states/eV/atom.

---

(3)
An optimized crystal structure of Nd2Sm7Er4, computed with GGA-PBE.

Structure (CIF):
```
data_Nd2Sm7Er4
_chemical_formula_sum 'Nd2 Sm7 Er4'
_symmetry_space_group_name_H-M 'P -1'
_symmetry_Int_Tables_number 2
_symmetry_space_group_name_Hall '-P 1'
_cell_length_a 6.219
_cell_length_b 6.940
_cell_length_c 10.728
_cell_angle_alpha 90.91
_cell_angle_beta 93.58
_cell_angle_gamma 108.85
loop_
_atom_site_label
_atom_site_fract_x
_atom_site_fract_y
_atom_site_fract_z
Nd1 0.237 0.104 0.432
Sm1 0.000 0.500 0.500
Sm2 0.063 0.885 0.139
Sm3 0.339 0.953 0.727
Sm4 0.426 0.460 0.707
Er1 0.056 0.398 0.144
Er2 0.500 0.257 0.005
```

Computed properties:
As for the formation energy from the elements: 14.5 kJ/mol of atoms. As for the density of states at the Fermi level: 1.460 states/eV/atom.

---

(4)
An optimized crystal structure of Nd4SmEr5, computed with GGA-PBE.

Structure (CIF):
```
data_Nd4SmEr5
_chemical_formula_sum 'Nd4 Sm1 Er5'
_symmetry_space_group_name_H-M 'P -1'
_symmetry_Int_Tables_number 2
_symmetry_space_group_name_Hall '-P 1'
_cell_length_a 3.530
_cell_length_b 8.758
_cell_length_c 11.286
_cell_angle_alpha 90.14
_cell_angle_beta 90.01
_cell_angle_gamma 101.60
loop_
_atom_site_label
_atom_site_fract_x
_atom_site_fract_y
_atom_site_fract_z
Nd1 0.033 0.065 0.248
Nd2 0.344 0.685 0.250
Sm1 0.500 0.000 0.500
Er1 0.172 0.346 0.046
Er2 0.174 0.348 0.450
Er3 0.500 0.000 0.000
```

Computed properties:
As for the formation energy from the elements: 18.8 kJ/mol of atoms. As for the density of states at the Fermi level: 1.397 states/eV/atom. The calculation puts the energy above the most stable polymorph in this dataset at 0 meV per atom.